Below is an optimized crystal structure of Ce2PmSm3Er6, with properties calculated at the PBE level.

Lattice parameters (Å, degrees): 6.1585 6.1585 11.6795 95.04 95.04 119.99
Positions (direct):
Ce 0.1666 0.8334 0.0000
Ce 0.8334 0.1666 0.0000
Pm 0.5000 0.5000 0.0000
Sm 0.0000 0.0000 0.5000
Sm 0.3340 0.6660 0.5000
Sm 0.6660 0.3340 0.5000
Er 0.0815 0.4171 0.7522
Er 0.2472 0.2472 0.2478
Er 0.4171 0.0815 0.7522
Er 0.5829 0.9185 0.2478
Er 0.7528 0.7528 0.7522
Er 0.9185 0.5829 0.2478

Results
uncorrected energy: -4.800 eV/atom
ΔE_f: 53 kJ/mol of formula units
D(E_F): 20.3 states/eV/cell
total magnetization: 0.15 μB/atom